VASP calculation (PBE) on an optimized crystal structure of Rb2NaBr2.

Cell: 6.427 6.427 13.876 Å, 90.00 90.00 90.00°
Space group I4/mmm (No. 139)
Asymmetric unit:
Rb1 0.000 0.000 0.180
Na1 0.000 0.000 0.500
Br1 0.000 0.500 0.250

Results
Polymorph energy (0 for the lowest one), meV per atom: 139
Formation energy without anion corrections, kJ/mol of formula units: -529

VASP calculation (PBE) on an optimized crystal structure of RbNa2Br.

Cell: 10.470 10.470 6.781 Å, 90.00 90.00 90.00°
Space group I-42d (No. 122)
Asymmetric unit:
Rb1 0.000 0.000 0.000
Na1 0.151 0.250 0.625
Br1 0.000 0.000 0.500

Results
Polymorph energy (0 for the lowest one), meV per atom: 0
Formation energy without anion corrections, kJ/mol of formula units: -241

VASP calculation (PBE) on an optimized crystal structure of RbNa2Br2.

Cell: 9.050 9.050 4.393 Å, 90.00 90.00 90.00°
Space group P4/mbm (No. 127)
Asymmetric unit:
Rb1 0.000 0.000 0.000
Na1 0.138 0.362 0.500
Br1 0.154 0.654 0.000

Results
Polymorph energy (0 for the lowest one), meV per atom: 95
Formation energy without anion corrections, kJ/mol of formula units: -504

VASP calculation (PBE) on an optimized crystal structure of RbNa3Br.

Cell: 6.939 6.939 6.939 Å, 90.00 90.00 90.00°
Space group Pm-3m (No. 221)
Asymmetric unit:
Rb1 0.000 0.000 0.000
Na1 0.000 0.000 0.500
Br1 0.500 0.500 0.500

Results
Polymorph energy (0 for the lowest one), meV per atom: 612
Formation energy without anion corrections, kJ/mol of formula units: 87

VASP calculation (PBE) on an optimized crystal structure of Rb2NaReBr6.

Cell: 10.945 10.945 10.945 Å, 90.00 90.00 90.00°
Space group Fm-3m (No. 225)
Asymmetric unit:
Rb1 0.250 0.250 0.250
Na1 0.000 0.000 0.000
Re1 0.000 0.000 0.500
Br1 0.000 0.000 0.266

Results
Formation energy without anion corrections, kJ/mol of formula units: -965

VASP calculation (PBE) on an optimized crystal structure of RbNaReBr6.

Cell: 7.3741 7.3741 14.5179 Å, 90.00 90.00 120.00°
Space group P-31c (No. 163)
Asymmetric unit:
Rb1 0.0000 0.0000 0.0000
Na1 0.3333 0.6667 0.2500
Re1 0.3333 0.6667 0.7500
Br1 0.0465 0.3942 0.6481

Results
Formation energy without anion corrections, kJ/mol of formula units: -776

VASP calculation (PBE) on an optimized crystal structure of Rb2NaRhBr6.

Cell: 10.879 10.879 10.879 Å, 90.00 90.00 90.00°
Space group Fm-3m (No. 225)
Asymmetric unit:
Rb1 0.250 0.250 0.250
Na1 0.000 0.000 0.000
Rh1 0.000 0.000 0.500
Br1 0.000 0.000 0.268

Results
Formation energy without anion corrections, kJ/mol of formula units: -1104

VASP calculation (PBE) on an optimized crystal structure of Rb2NaSBr.

Cell: 6.393 6.393 5.164 Å, 90.00 90.00 90.00°
Space group P4/mmm (No. 123)
Asymmetric unit:
Rb1 0.000 0.500 0.000
Na1 0.000 0.000 0.500
S1 0.000 0.000 0.000
Br1 0.500 0.500 0.500

Results
Formation energy without anion corrections, kJ/mol of formula units: -574

VASP calculation (PBE) on an optimized crystal structure of RbNaSbBr2.

Cell: 5.926 5.926 6.856 Å, 90.00 90.00 90.00°
Space group P4/mmm (No. 123)
Asymmetric unit:
Rb1 0.000 0.000 0.000
Na1 0.500 0.500 0.000
Sb1 0.000 0.000 0.500
Br1 0.000 0.500 0.500

Results
Formation energy without anion corrections, kJ/mol of formula units: -150

VASP calculation (PBE) on an optimized crystal structure of RbNaSc2Br8.

Cell: 7.2120 7.2120 30.2402 Å, 90.00 90.00 120.00°
Space group R-3 (No. 148, hexagonal axes)
Asymmetric unit:
Rb1 0.0000 0.0000 0.0000
Na1 0.0000 0.0000 0.5000
Sc1 0.0000 0.0000 0.2486
Br1 0.0000 0.0000 0.3308
Br2 0.0065 0.6817 0.8924

Results
Formation energy without anion corrections, kJ/mol of formula units: -1893

VASP calculation (PBE) on an optimized crystal structure of RbNaSeBr2.

Cell: 5.771 5.771 5.497 Å, 90.00 90.00 90.00°
Space group P4/mmm (No. 123)
Asymmetric unit:
Rb1 0.000 0.000 0.000
Na1 0.500 0.500 0.500
Se1 0.500 0.500 0.000
Br1 0.000 0.500 0.500

Results
Polymorph energy (0 for the lowest one), meV per atom: 0
Formation energy without anion corrections, kJ/mol of formula units: -372

VASP calculation (PBE) on an optimized crystal structure of RbNaSeBr2.

Cell: 6.471 6.471 6.254 Å, 90.00 90.00 90.00°
Space group P4/mmm (No. 123)
Asymmetric unit:
Rb1 0.000 0.000 0.000
Na1 0.500 0.500 0.500
Se1 0.000 0.000 0.500
Br1 0.000 0.500 0.000

Results
Polymorph energy (0 for the lowest one), meV per atom: 372
Formation energy without anion corrections, kJ/mol of formula units: -193

VASP calculation (PBE) on an optimized crystal structure of Rb2NaSiBr6.

Cell: 10.994 10.994 10.994 Å, 90.00 90.00 90.00°
Space group Fm-3m (No. 225)
Asymmetric unit:
Rb1 0.250 0.250 0.250
Na1 0.000 0.000 0.000
Si1 0.000 0.000 0.500
Br1 0.000 0.000 0.266

Results
Formation energy without anion corrections, kJ/mol of formula units: -1127

VASP calculation (PBE) on an optimized crystal structure of RbNa2SnBr8.

Cell: 6.207 7.021 9.804 Å, 90.04 90.15 92.75°
Space group P-1 (No. 2)
Asymmetric unit:
Rb1 0.000 0.000 0.000
Na1 0.499 0.500 0.725
Sn1 0.000 0.000 0.500
Br1 0.233 0.854 0.303
Br2 0.235 0.856 0.698
Br3 0.242 0.324 0.499
Br4 0.251 0.491 0.000

Results
Formation energy without anion corrections, kJ/mol of formula units: -1178

VASP calculation (PBE) on an optimized crystal structure of Rb2NaSn2Br7.

Cell: 8.275 8.265 14.936 Å, 90.00 105.10 90.00°
Space group C2/m (No. 12)
Asymmetric unit:
Rb1 0.161 0.000 0.358
Na1 0.000 0.000 0.000
Sn1 0.105 0.500 0.205
Br1 0.000 0.500 0.000
Br2 0.151 0.248 0.807
Br3 0.217 0.500 0.406

Results
Formation energy without anion corrections, kJ/mol of formula units: -1338

VASP calculation (PBE) on an optimized crystal structure of RbNaSr2Br6.

Cell: 7.9639 7.9639 21.1322 Å, 90.00 90.00 120.00°
Space group R3 (No. 146, hexagonal axes)
Asymmetric unit:
Rb1 0.0000 0.0000 0.0000
Na1 0.0000 0.0000 0.4817
Sr1 0.0000 0.0000 0.2801
Sr2 0.0000 0.0000 0.7909
Br1 0.0093 0.3184 0.8771
Br2 0.0234 0.6071 0.0472

Results
Formation energy without anion corrections, kJ/mol of formula units: -1855

VASP calculation (PBE) on an optimized crystal structure of Rb2NaSrBr6.

Cell: 11.721 11.721 11.721 Å, 90.00 90.00 90.00°
Space group Fm-3m (No. 225)
Asymmetric unit:
Rb1 0.250 0.250 0.250
Na1 0.000 0.000 0.000
Sr1 0.000 0.000 0.500
Br1 0.000 0.000 0.245

Results
Formation energy without anion corrections, kJ/mol of formula units: -1474

VASP calculation (PBE) on an optimized crystal structure of Rb2NaSrBr5.

Cell: 4.674 19.512 15.195 Å, 90.00 90.00 90.00°
Space group Cmc2_1 (No. 36)
Asymmetric unit:
Rb1 0.000 0.094 0.000
Rb2 0.000 0.132 0.633
Na1 0.000 0.469 0.785
Sr1 0.000 0.217 0.351
Br1 0.000 0.063 0.384
Br2 0.000 0.273 0.988
Br3 0.000 0.305 0.722
Br4 0.000 0.372 0.325
Br5 0.000 0.497 0.106

Results
Formation energy without anion corrections, kJ/mol of formula units: -1583

VASP calculation (PBE) on an optimized crystal structure of RbNaTaBr6.

Cell: 7.4200 7.4200 14.6383 Å, 90.00 90.00 120.00°
Space group P-31c (No. 163)
Asymmetric unit:
Rb1 0.0000 0.0000 0.0000
Na1 0.3333 0.6667 0.2500
Ta1 0.3333 0.6667 0.7500
Br1 0.0418 0.3911 0.6471

Results
Formation energy without anion corrections, kJ/mol of formula units: -1036

VASP calculation (PBE) on an optimized crystal structure of RbNaTb2Br8.

Cell: 7.5417 7.5417 8.8239 Å, 90.00 90.00 120.00°
Space group P-3 (No. 147)
Asymmetric unit:
Rb1 0.0000 0.0000 0.0000
Na1 0.0000 0.0000 0.5000
Tb1 0.3333 0.6667 0.4096
Br1 0.0615 0.3728 0.6506
Br2 0.3333 0.6667 0.1008

Results
Formation energy without anion corrections, kJ/mol of formula units: -2026

VASP calculation (PBE) on an optimized crystal structure of Rb2NaTcBr6.

Cell: 10.954 10.954 10.954 Å, 90.00 90.00 90.00°
Space group Fm-3m (No. 225)
Asymmetric unit:
Rb1 0.250 0.250 0.250
Na1 0.000 0.000 0.000
Tc1 0.000 0.000 0.500
Br1 0.000 0.000 0.266

Results
Polymorph energy (0 for the lowest one), meV per atom: 13
Formation energy without anion corrections, kJ/mol of formula units: -1069

VASP calculation (PBE) on an optimized crystal structure of Rb2NaTcBr6.

Cell: 7.6408 7.6408 40.3037 Å, 90.00 90.00 120.00°
Space group R-3m (No. 166, hexagonal axes)
Asymmetric unit:
Rb1 0.0000 0.0000 0.1294
Rb2 0.0000 0.0000 0.3010
Na1 0.0000 0.0000 0.4149
Tc1 0.0000 0.0000 0.0000
Tc2 0.0000 0.0000 0.5000
Br1 0.0125 0.5063 0.1303
Br2 0.0186 0.5093 0.7039

Results
Polymorph energy (0 for the lowest one), meV per atom: 0
Formation energy without anion corrections, kJ/mol of formula units: -1081